Model one:
Be2ReIr2 after structural relaxation. Source: Alexandria via LeMat-Bulk, functional GGA-PBE. Values from VASP.

Geometry as Quantum ESPRESSO input:
```
&SYSTEM
  ibrav = 0, nat = 5, ntyp = 3
/
ATOMIC_SPECIES
Re 186.21 Re.upf
Ir 192.22 Ir.upf
Be 9.01 Be.upf
ATOMIC_POSITIONS angstrom
Re 0.0000 0.0000 0.0000
Ir 3.8263 1.9131 2.1479
Ir 1.9131 3.8263 2.1479
Be 1.9131 1.9131 0.9887
Be 3.8263 3.8263 3.3071
CELL_PARAMETERS angstrom
3.8263 0.0000 0.0000
0.0000 3.8263 0.0000
1.9131 1.9131 4.2957
```

Values from the calculation:
Size of the total moment in μB per cell: 0.52

Model two:
Be2ReIr2 after structural relaxation. Source: Alexandria via LeMat-Bulk, functional GGA-PBE. Values from VASP.

Geometry as Quantum ESPRESSO input:
```
&SYSTEM
  ibrav = 0, nat = 10, ntyp = 3
/
ATOMIC_SPECIES
Re 186.21 Re.upf
Ir 192.22 Ir.upf
Be 9.01 Be.upf
ATOMIC_POSITIONS angstrom
Re 0.0000 0.0000 0.0000
Re 3.2928 3.2928 0.0000
Ir 1.1436 4.4364 1.3730
Ir 4.4364 5.4419 1.3730
Ir 5.4419 2.1492 1.3730
Ir 2.1492 1.1436 1.3730
Be 2.4948 5.7876 0.0000
Be 5.7876 4.0908 0.0000
Be 4.0908 0.7980 0.0000
Be 0.7980 2.4948 0.0000
CELL_PARAMETERS angstrom
6.5856 0.0000 0.0000
0.0000 6.5856 0.0000
0.0000 0.0000 2.7459
```

Values from the calculation:
Size of the total moment in μB per cell: 0.00

Model three:
Be2ReIr2 after structural relaxation. Source: Alexandria via LeMat-Bulk, functional GGA-PBE. Values from VASP.

Geometry as Quantum ESPRESSO input:
```
&SYSTEM
  ibrav = 0, nat = 10, ntyp = 3
/
ATOMIC_SPECIES
Re 186.21 Re.upf
Ir 192.22 Ir.upf
Be 9.01 Be.upf
ATOMIC_POSITIONS angstrom
Re 0.0000 0.0000 0.0000
Re 3.3916 3.3916 0.0000
Ir 2.4578 5.8494 0.0000
Ir 5.8494 4.3255 0.0000
Ir 4.3255 0.9338 0.0000
Ir 0.9338 2.4578 0.0000
Be 1.0928 4.4844 1.3626
Be 4.4844 5.6904 1.3626
Be 5.6904 2.2988 1.3626
Be 2.2988 1.0928 1.3626
CELL_PARAMETERS angstrom
6.7832 0.0000 0.0000
0.0000 6.7832 0.0000
0.0000 0.0000 2.7251
```

Values from the calculation:
Size of the total moment in μB per cell: 0.00

Tell me which of them is the least stable. Sure, it is model one.

Model one:
Be3ReIr after structural relaxation. Source: Alexandria via LeMat-Bulk, functional GGA-PBE. Values from VASP.

Geometry as Quantum ESPRESSO input:
```
&SYSTEM
  ibrav = 0, nat = 5, ntyp = 3
/
ATOMIC_SPECIES
Re 186.21 Re.upf
Ir 192.22 Ir.upf
Be 9.01 Be.upf
ATOMIC_POSITIONS angstrom
Re 0.0000 0.0000 0.0000
Ir -0.7431 2.2740 2.6009
Be 0.2130 -0.3797 1.9933
Be 0.8748 1.8256 0.2542
Be -1.8308 0.8281 0.3534
CELL_PARAMETERS angstrom
-3.6617 1.6562 0.7067
0.4260 -0.7593 3.9865
1.7496 3.6511 0.5085
```

Values from the calculation:
Size of the total moment in μB per cell: 0.00

Model two:
Be3ReIr after structural relaxation. Source: Alexandria via LeMat-Bulk, functional GGA-PBE. Values from VASP.

Geometry as Quantum ESPRESSO input:
```
&SYSTEM
  ibrav = 0, nat = 5, ntyp = 3
/
ATOMIC_SPECIES
Re 186.21 Re.upf
Ir 192.22 Ir.upf
Be 9.01 Be.upf
ATOMIC_POSITIONS angstrom
Re -2.7989 -1.5469 1.5021
Ir 0.0000 0.0000 0.0000
Be -0.9765 -1.6343 -0.7325
Be -0.0317 -0.8184 1.8682
Be -1.7906 0.9057 0.3664
CELL_PARAMETERS angstrom
-3.5813 1.8115 0.7327
-1.9530 -3.2686 -1.4649
-0.0634 -1.6367 3.7364
```

Values from the calculation:
Size of the total moment in μB per cell: 2.15

Tell me which of them is the least stable. Sure, it is model one.

Model one:
BeIr3Ru after structural relaxation. Source: Alexandria via LeMat-Bulk, functional GGA-PBE. Values from VASP.

Geometry as Quantum ESPRESSO input:
```
&SYSTEM
  ibrav = 0, nat = 5, ntyp = 3
/
ATOMIC_SPECIES
Ru 101.07 Ru.upf
Ir 192.22 Ir.upf
Be 9.01 Be.upf
ATOMIC_POSITIONS angstrom
Ru 0.0000 0.0000 0.0000
Ir 0.1159 -2.2831 -0.4786
Ir 0.8010 -0.4111 2.1551
Ir -2.1909 -0.2711 0.7626
Be -1.2740 -2.9653 2.4391
CELL_PARAMETERS angstrom
-4.3818 -0.5422 1.5252
0.2318 -4.5662 -0.9572
1.6020 -0.8222 4.3102
```

Values from the calculation:
Size of the total moment in μB per cell: 0.00

Model two:
BeIr3Ru after structural relaxation. Source: Alexandria via LeMat-Bulk, functional GGA-PBE. Values from VASP.

Geometry as Quantum ESPRESSO input:
```
&SYSTEM
  ibrav = 0, nat = 5, ntyp = 3
/
ATOMIC_SPECIES
Ru 101.07 Ru.upf
Ir 192.22 Ir.upf
Be 9.01 Be.upf
ATOMIC_POSITIONS angstrom
Ru 2.0508 2.0508 2.0508
Ir 0.0000 2.0508 0.0000
Ir 0.0000 0.0000 2.0508
Ir 2.0508 0.0000 0.0000
Be 0.0000 0.0000 0.0000
CELL_PARAMETERS angstrom
4.1016 0.0000 0.0000
0.0000 4.1016 0.0000
0.0000 0.0000 4.1016
```

Values from the calculation:
Size of the total moment in μB per cell: 0.00

Tell me which of them is the least stable. Sure, it is model one.

Model one:
Be2Ir2Ru after structural relaxation. Source: Alexandria via LeMat-Bulk, functional GGA-PBE. Values from VASP.

Geometry as Quantum ESPRESSO input:
```
&SYSTEM
  ibrav = 0, nat = 10, ntyp = 3
/
ATOMIC_SPECIES
Ru 101.07 Ru.upf
Ir 192.22 Ir.upf
Be 9.01 Be.upf
ATOMIC_POSITIONS angstrom
Ru 0.0000 0.0000 0.0000
Ru -2.1333 -3.7170 -1.7296
Ir -0.6216 -2.7353 -3.8432
Ir -1.9889 -5.8446 -3.5096
Ir -1.2050 -5.8329 -0.1878
Ir 0.1623 -2.7236 -0.5214
Be -2.7119 -3.6845 -4.2629
Be -3.1847 -6.0843 -1.5198
Be -1.5547 -3.7494 0.8037
Be -1.0819 -1.3496 -1.9394
CELL_PARAMETERS angstrom
-2.0739 -5.6945 2.4470
-2.1927 -1.7394 -5.9062
2.4400 -1.1343 -0.5718
```

Values from the calculation:
Size of the total moment in μB per cell: 0.00

Model two:
Be2Ir2Ru after structural relaxation. Source: Alexandria via LeMat-Bulk, functional GGA-PBE. Values from VASP.

Geometry as Quantum ESPRESSO input:
```
&SYSTEM
  ibrav = 0, nat = 10, ntyp = 3
/
ATOMIC_SPECIES
Ru 101.07 Ru.upf
Ir 192.22 Ir.upf
Be 9.01 Be.upf
ATOMIC_POSITIONS angstrom
Ru 0.0000 0.0000 0.0000
Ru 3.3832 3.3832 0.0000
Ir 2.4617 5.8449 0.0000
Ir 5.8449 4.3047 0.0000
Ir 4.3047 0.9215 0.0000
Ir 0.9215 2.4617 0.0000
Be 1.0977 4.4809 1.3579
Be 4.4809 5.6687 1.3579
Be 5.6687 2.2855 1.3579
Be 2.2855 1.0977 1.3579
CELL_PARAMETERS angstrom
6.7664 0.0000 0.0000
0.0000 6.7664 0.0000
0.0000 0.0000 2.7158
```

Values from the calculation:
Size of the total moment in μB per cell: 0.01

Model three:
Be2Ir2Ru after structural relaxation. Source: Alexandria via LeMat-Bulk, functional GGA-PBE. Values from VASP.

Geometry as Quantum ESPRESSO input:
```
&SYSTEM
  ibrav = 0, nat = 5, ntyp = 3
/
ATOMIC_SPECIES
Ru 101.07 Ru.upf
Ir 192.22 Ir.upf
Be 9.01 Be.upf
ATOMIC_POSITIONS angstrom
Ru 0.0000 0.0000 0.0000
Ir -3.7055 1.3044 -2.8089
Ir -4.7411 -0.3373 -0.8542
Be -2.6118 0.0444 -1.3465
Be -5.8348 0.9228 -2.3165
CELL_PARAMETERS angstrom
-1.0075 0.9103 -3.6515
-3.0788 -2.3731 0.2578
-4.3604 2.4300 -0.2694
```

Values from the calculation:
Size of the total moment in μB per cell: 0.00

Tell me which of them is the least stable. Sure, it is model three.

Model one:
Be4IrRu after structural relaxation. Source: Alexandria via LeMat-Bulk, functional GGA-PBE. Values from VASP.

Geometry as Quantum ESPRESSO input:
```
&SYSTEM
  ibrav = 0, nat = 6, ntyp = 3
/
ATOMIC_SPECIES
Be 9.01 Be.upf
Ir 192.22 Ir.upf
Ru 101.07 Ru.upf
ATOMIC_POSITIONS angstrom
Be 4.3559 2.5149 3.1139
Be 3.2653 1.8852 1.3331
Be 4.3559 3.7741 1.3331
Be 5.4464 1.8852 1.3331
Ir 6.5338 3.7723 2.6674
Ru 0.0000 0.0000 0.0000
CELL_PARAMETERS angstrom
4.3559 0.0000 0.0000
2.1779 3.7723 0.0000
2.1779 1.2574 3.5566
```

Values from the calculation:
Size of the total moment in μB per cell: 0.25

Model two:
Be4IrRu after structural relaxation. Source: Alexandria via LeMat-Bulk, functional GGA-PBE. Values from VASP.

Geometry as Quantum ESPRESSO input:
```
&SYSTEM
  ibrav = 0, nat = 6, ntyp = 3
/
ATOMIC_SPECIES
Be 9.01 Be.upf
Ir 192.22 Ir.upf
Ru 101.07 Ru.upf
ATOMIC_POSITIONS angstrom
Be 1.3031 4.5844 0.0163
Be 1.3031 2.0049 3.9043
Be 0.0000 1.3095 1.9531
Be 0.0000 5.2797 1.9674
Ir 1.3031 3.2946 1.9603
Ru 0.0000 0.0000 0.0000
CELL_PARAMETERS angstrom
2.6062 0.0000 0.0000
0.0000 6.6030 0.0234
0.0000 -0.0138 3.8971
```

Values from the calculation:
Size of the total moment in μB per cell: 0.00

Tell me which of them is the least stable. Sure, it is model two.